Record 1
## BePb2Au (meta-GGA SCAN)

Data for a crystal of BePb2Au relaxed with PBEsol.

abc: 3.224 5.274 10.199
angles: 90.00 90.00 90.00
Space group Imm2 (No. 44)
Symmetry-distinct sites (fractional):
Be (0.000, 0.000, 0.000) x2
Pb (0.000, 0.000, 0.545) x2
Pb (0.000, 0.500, 0.744) x2
Au (0.000, 0.500, 0.343) x2

Record 2
## BePb2Au (meta-GGA SCAN)

Data for a crystal of BePb2Au relaxed with PBEsol.

abc: 3.473 3.473 7.085
angles: 90.00 90.00 90.00
Space group P4/mmm (No. 123)
Symmetry-distinct sites (fractional):
Be (0.000, 0.000, 0.000) x1
Pb (0.500, 0.500, 0.240) x2
Au (0.000, 0.000, 0.500) x1

Record 3
## BePb2Au (meta-GGA SCAN)

Data for a crystal of BePb2Au relaxed with PBEsol.

abc: 6.240 3.571 8.008
angles: 90.00 104.84 90.00
Space group C2/m (No. 12)
Symmetry-distinct sites (fractional):
Be (0.000, 0.000, 0.000) x2
Pb (0.244, 0.500, 0.231) x4
Au (0.000, 0.500, 0.500) x2

no.,total magnetic moment (μB per atom),formation energy from the elements (eV/atom)
1,0.0000,0.1862
2,0.0000,0.4192
3,0.0000,0.3240